Entry from the Alexandria database: a relaxed structure of Na3AsH (PBE).

Cell lengths 7.812, 4.638, 6.582 Å; angles 90.00, 90.00, 53.67 degrees
Sites, in units of the cell vectors:
Na 0.784 0.479 0.552
Na 0.777 0.486 0.052
Na 0.501 0.262 0.802
Na 0.501 0.262 0.303
Na 0.059 0.704 0.302
Na 0.059 0.704 0.803
As 0.279 0.985 0.052
As 0.282 0.981 0.552
H 0.782 0.981 0.552
H 0.779 0.984 0.052

N(E_F) ... 0.30 states/eV/atom
Space-group type ... P2_1/m (11)
Total magnetization ... 0.00 μB per cell
E above lowest polymorph ... 0.0051 eV/atom